# 1
# Cs2ReBiPb, relaxed, DFT PBE
data_Cs2ReBiPb
_cell_length_a 6.2679
_cell_length_b 5.3075
_cell_length_c 6.2679
_cell_angle_alpha 90.00
_cell_angle_beta 90.00
_cell_angle_gamma 90.00
_symmetry_space_group_name_H-M 'P 1'
_symmetry_Int_Tables_number 1
loop_
_symmetry_equiv_pos_as_xyz
'x,y,z'
loop_
_atom_site_label
_atom_site_type_symbol
_atom_site_fract_x
_atom_site_fract_y
_atom_site_fract_z
Re1 Re 0.0000 0.0000 0.0000
Bi1 Bi 0.0000 0.5000 0.0000
Cs1 Cs 0.0000 0.0000 0.5000
Cs2 Cs 0.5000 0.0000 0.0000
Pb1 Pb 0.5000 0.5000 0.5000
# SG: P4/mmm
# M_tot, μB per cell: 2.3
# E, eV/f.u.: -16.30
# E_form, eV per atom: 1.089
# DOS(E_F), states/eV/cell: 5.3



# 2
# ZnGa2Au6, relaxed, DFT PBE
data_ZnGa2Au6
_cell_length_a 4.1770
_cell_length_b 6.1652
_cell_length_c 7.9924
_cell_angle_alpha 65.75
_cell_angle_beta 74.85
_cell_angle_gamma 70.20
_symmetry_space_group_name_H-M 'P 1'
_symmetry_Int_Tables_number 1
loop_
_symmetry_equiv_pos_as_xyz
'x,y,z'
loop_
_atom_site_label
_atom_site_type_symbol
_atom_site_fract_x
_atom_site_fract_y
_atom_site_fract_z
Zn1 Zn 0.0000 0.5000 0.5000
Au1 Au 0.3033 0.3124 0.0810
Au2 Au 0.9562 0.2329 0.8546
Au3 Au 0.0438 0.7671 0.1454
Au4 Au 0.5965 0.1950 0.6120
Au5 Au 0.4035 0.8050 0.3880
Au6 Au 0.6967 0.6876 0.9190
Ga1 Ga 0.7817 0.1422 0.2945
Ga2 Ga 0.2183 0.8578 0.7055
# E above lowest polymorph, meV/atom: 22.8
# SG: C2/m
# M_tot, μB per cell: 0.0
# E, eV/f.u.: -27.81
# E_form, eV per atom: -0.091
# DOS(E_F), states/eV/cell: 2.9



# 3
# CaGa2Ni2, relaxed, DFT PBE
data_CaGa2Ni2
_cell_length_a 5.7847
_cell_length_b 5.7847
_cell_length_c 6.9456
_cell_angle_alpha 100.65
_cell_angle_beta 100.65
_cell_angle_gamma 123.79
_symmetry_space_group_name_H-M 'P 1'
_symmetry_Int_Tables_number 1
loop_
_symmetry_equiv_pos_as_xyz
'x,y,z'
loop_
_atom_site_label
_atom_site_type_symbol
_atom_site_fract_x
_atom_site_fract_y
_atom_site_fract_z
Ni1 Ni 0.3562 0.8562 0.7124
Ni2 Ni 0.8938 0.8938 0.7876
Ni3 Ni 0.1438 0.6438 0.2876
Ni4 Ni 0.1062 0.1062 0.2124
Ga1 Ga 0.0583 0.9417 0.5000
Ga2 Ga 0.1917 0.8083 0.0000
Ga3 Ga 0.4417 0.5583 0.5000
Ga4 Ga 0.8083 0.1917 0.0000
Ca1 Ca 0.7500 0.2500 0.5000
Ca2 Ca 0.5000 0.5000 0.0000
# SG: Fddd
# M_tot, μB per cell: 0.0
# E, eV/f.u.: -21.79
# E_form, eV per atom: -0.433
# DOS(E_F), states/eV/cell: 6.0



# 4
# DyAs2Rh4, relaxed, DFT PBE
data_DyAs2Rh4
_cell_length_a 3.8566
_cell_length_b 7.7439
_cell_length_c 7.7439
_cell_angle_alpha 90.00
_cell_angle_beta 90.00
_cell_angle_gamma 90.00
_symmetry_space_group_name_H-M 'P 1'
_symmetry_Int_Tables_number 1
loop_
_symmetry_equiv_pos_as_xyz
'x,y,z'
loop_
_atom_site_label
_atom_site_type_symbol
_atom_site_fract_x
_atom_site_fract_y
_atom_site_fract_z
Rh1 Rh 0.5000 0.5740 0.1706
Rh2 Rh 0.0000 0.6706 0.9260
Rh3 Rh 0.0000 0.0740 0.3294
Rh4 Rh 0.5000 0.1706 0.5740
Rh5 Rh 0.5000 0.8294 0.4260
Rh6 Rh 0.0000 0.9260 0.6706
Rh7 Rh 0.0000 0.3294 0.0740
Rh8 Rh 0.5000 0.4260 0.8294
Dy1 Dy 0.0000 0.5000 0.5000
Dy2 Dy 0.5000 0.0000 0.0000
As1 As 0.5000 0.7292 0.7292
As2 As 0.0000 0.7708 0.2292
As3 As 0.5000 0.2708 0.2708
As4 As 0.0000 0.2292 0.7708
# E above lowest polymorph, meV/atom: 0.0
# SG: P4_2/mnm
# M_tot, μB per cell: 0.0
# E, eV/f.u.: -48.26
# E_form, eV per atom: -0.708
# DOS(E_F), states/eV/cell: 10.7



Question: Which of these has the highest E?
Answer: Cs2ReBiPb



Question: DOS(E_F) of number 4 (DyAs2Rh4)?
Answer: 10.7 states/eV/cell



Question: E_form of number 4 (DyAs2Rh4)?
Answer: -0.708 eV per atom